VASP calculation (PBE) on a relaxed structure of Ta4InRh5.

The structure belongs to space group P4/mmm (No. 123); the cell edges are 2.926, 2.926 and 18.866 Å and the angles 90.00°, 90.00° and 90.00°. Symmetry generates all atoms from Ta at (0.000, 0.000, 0.100), Ta at (0.000, 0.000, 0.300), In at (0.000, 0.000, 0.500), Rh at (0.500, 0.500, 0.000), Rh at (0.500, 0.500, 0.200) and Rh at (0.500, 0.500, 0.397).

The total energy comes out at -9.162 eV/atom.

=====

VASP calculation (PBE) on a relaxed structure of SrTaAu2.

The structure belongs to space group F-43m (No. 216); the cell edges are 6.954, 6.954 and 6.954 Å and the angles 90.00°, 90.00° and 90.00°. Symmetry generates all atoms from Sr at (0.000, 0.000, 0.000), Ta at (0.250, 0.250, 0.750), Au at (0.000, 0.000, 0.500) and Au at (0.250, 0.250, 0.250).

The total energy comes out at -4.515 eV/atom.

=====

VASP calculation (PBE) on a relaxed structure of GaP2NO.

The structure belongs to space group P4/mmm (No. 123); the cell edges are 4.005, 4.005 and 3.802 Å and the angles 90.00°, 90.00° and 90.00°. Symmetry generates all atoms from Ga at (0.000, 0.000, 0.000), P at (0.000, 0.500, 0.500), N at (0.500, 0.500, 0.500) and O at (0.500, 0.500, 0.000).

The total energy comes out at -4.556 eV/atom.

=====

VASP calculation (PBE) on a relaxed structure of TbSmMgRu.

The structure belongs to space group P4mm (No. 99); the cell edges are 3.436, 3.436 and 8.531 Å and the angles 90.00°, 90.00° and 90.00°. Symmetry generates all atoms from Tb at (0.000, 0.000, 0.000), Sm at (0.000, 0.000, 0.395), Mg at (0.500, 0.500, 0.701) and Ru at (0.500, 0.500, 0.193).

The total energy comes out at -5.285 eV/atom.

=====

VASP calculation (PBE) on a relaxed structure of CsTl2IF2.

The structure belongs to space group P2_1/m (No. 11); the cell edges are 7.978, 6.666 and 8.340 Å and the angles 90.00°, 105.08° and 90.00°. Symmetry generates all atoms from Cs at (0.176, 0.250, 0.444), Tl at (0.100, 0.250, 0.928), Tl at (0.370, 0.750, 0.817), I at (0.342, 0.750, 0.225) and F at (0.133, 0.503, 0.726).

The total energy comes out at -3.517 eV/atom.

=====

VASP calculation (PBE) on a relaxed structure of DyHfMg4.

The structure belongs to space group F-43m (No. 216); the cell edges are 8.281, 8.281 and 8.281 Å and the angles 90.00°, 90.00° and 90.00°. Symmetry generates all atoms from Dy at (0.000, 0.000, 0.000), Hf at (0.250, 0.250, 0.250) and Mg at (0.124, 0.124, 0.624).

The total energy comes out at -3.374 eV/atom.